GdNi2H: optimized geometry, PBE.

Geometry as extended XYZ:
```
4
Lattice="1.616 0.933 7.193 -1.616 0.933 7.193 0.000 -1.866 7.193" Properties=species:S:1:pos:R:3 pbc="T T T"
Gd 0.000 0.000 0.000
Ni 0.000 0.000 9.232
Ni 0.000 0.000 12.347
H 0.000 0.000 10.789
```

Results
Spin magnetization (μB/cell): 7.26
SG: R-3m, No. 166
Raw total energy (eV per formula unit): -27.012
Crystal system: trigonal



Sc2AgP: optimized geometry, PBE.

Geometry as extended XYZ:
```
8
Lattice="-3.583 3.583 3.329 3.583 -3.583 3.329 3.583 3.583 -3.329" Properties=species:S:1:pos:R:3 pbc="T T T"
Sc 5.375 1.603 -0.832
Sc 1.603 1.792 0.832
Sc -1.792 1.980 2.497
Sc 1.980 1.792 4.161
Ag 3.583 0.000 1.664
Ag 0.000 0.000 3.329
P 0.000 0.000 0.000
P 0.000 3.583 1.664
```

Results
Spin magnetization (μB/cell): 0.00
SG: I-42d, No. 122
ΔH_f (0 K) (eV per atom): -0.4342
Crystal system: tetragonal



Cs4CeTm3S8: optimized geometry, PBE.

Geometry as extended XYZ:
```
16
Lattice="4.110 2.373 8.049 -4.110 2.373 8.049 0.000 -4.745 8.049" Properties=species:S:1:pos:R:3 pbc="T T T"
Cs 0.000 0.000 0.000
Cs -2.055 -1.186 8.049
Cs -2.055 1.186 16.097
Cs 0.000 2.373 8.049
Ce 0.000 0.000 12.073
Tm -4.110 0.000 12.073
Tm -2.055 1.186 4.024
Tm 2.055 1.186 4.024
S -2.118 -1.223 13.531
S 0.000 0.000 5.463
S 0.000 -2.446 10.615
S -2.118 1.223 10.615
S 2.118 -1.223 13.531
S 0.000 2.446 13.531
S 0.000 0.000 18.683
S 2.118 1.223 10.615
```

Results
Spin magnetization (μB/cell): 0.96
SG: R-3m, No. 166
Crystal system: trigonal
Energy relative to the elements, uncorrected (meV per atom): -1800



MnCoCuPt: optimized geometry, PBE.

Geometry as extended XYZ:
```
4
Lattice="0.000 2.974 2.974 2.974 0.000 2.974 2.974 2.974 0.000" Properties=species:S:1:pos:R:3 pbc="T T T"
Mn 0.000 0.000 0.000
Co 4.461 4.461 4.461
Cu 2.974 2.974 2.974
Pt 1.487 1.487 1.487
```

Results
Spin magnetization (μB/cell): 5.16
SG: F-43m, No. 216
ΔH_f (0 K) (eV per atom): -0.0267
Crystal system: cubic



BePt: optimized geometry, PBE.

Geometry as extended XYZ:
```
4
Lattice="2.781 0.000 0.000 -0.012 3.825 0.000 -0.049 -0.958 4.483" Properties=species:S:1:pos:R:3 pbc="T T T"
Be 0.665 1.012 1.405
Be 2.055 1.855 3.079
Pt 0.664 -0.056 3.544
Pt 2.056 2.923 0.939
```

Results
Spin magnetization (μB/cell): 0.00
SG: P-1, No. 2
ΔH_f (0 K) (eV per atom): -0.5597
Crystal system: triclinic



AcTh2Ag: optimized geometry, PBE.

Geometry as extended XYZ:
```
4
Lattice="1.767 1.020 12.092 -1.767 1.020 12.092 0.000 -2.041 12.092" Properties=species:S:1:pos:R:3 pbc="T T T"
Ac 0.000 0.000 0.000
Th 0.000 0.000 3.553
Th 0.000 0.000 32.724
Ag 0.000 0.000 18.139
```

Results
Spin magnetization (μB/cell): 0.00
SG: R-3m, No. 166
ΔH_f (0 K) (eV per atom): 0.3199
Crystal system: trigonal



AcLa2NdCd: optimized geometry, PBE.

Geometry as extended XYZ:
```
10
Lattice="3.501 -7.504 0.000 3.501 7.504 0.000 0.000 0.000 7.106" Properties=species:S:1:pos:R:3 pbc="T T T"
Ac 3.501 3.769 5.329
Ac 3.501 -3.769 1.776
La 1.719 0.000 0.000
La 1.719 0.000 3.553
La 5.284 0.000 0.000
La 5.284 0.000 3.553
Nd 3.501 2.332 1.776
Nd 3.501 -2.332 5.329
Cd 3.501 5.316 1.776
Cd 3.501 -5.316 5.329
```

Results
Spin magnetization (μB/cell): 0.00
SG: Cmcm, No. 63
ΔH_f (0 K) (eV per atom): 0.0728
Crystal system: orthorhombic



SrAlTl2: optimized geometry, PBE.

Geometry as extended XYZ:
```
4
Lattice="-2.424 2.424 4.930 2.424 -2.424 4.930 2.424 2.424 -4.930" Properties=species:S:1:pos:R:3 pbc="T T T"
Sr 0.000 0.000 0.000
Al 0.000 2.424 2.465
Tl 2.424 0.000 2.465
Tl 0.000 0.000 4.930
```

Results
Spin magnetization (μB/cell): 0.00
SG: I-4m2, No. 119
ΔH_f (0 K) (eV per atom): -0.0716
Crystal system: tetragonal



BaTeIr2: optimized geometry, PBE.

Geometry as extended XYZ:
```
4
Lattice="-2.139 2.139 4.929 2.139 -2.139 4.929 2.139 2.139 -4.929" Properties=species:S:1:pos:R:3 pbc="T T T"
Ba 0.000 0.000 0.000
Te 0.000 2.139 2.465
Ir 2.139 0.000 2.465
Ir 0.000 0.000 4.929
```

Results
Spin magnetization (μB/cell): 0.00
SG: I-4m2, No. 119
Crystal system: tetragonal
Energy relative to the elements, uncorrected (meV per atom): 587



RbBaNbSe4: optimized geometry, PBE.

Geometry as extended XYZ:
```
14
Lattice="7.507 0.000 0.000 0.000 7.300 0.000 -2.896 0.000 9.252" Properties=species:S:1:pos:R:3 pbc="T T T"
Rb 0.378 1.825 3.978
Rb 4.233 5.475 5.274
Ba -0.746 1.825 8.801
Ba 5.357 5.475 0.451
Nb 1.659 5.475 1.806
Nb 2.952 1.825 7.446
Se -0.303 5.475 3.216
Se -1.827 5.475 8.710
Se 1.523 3.725 7.002
Se 1.523 7.226 7.002
Se 3.088 0.074 2.249
Se 3.088 3.576 2.249
Se 6.438 1.825 0.542
Se 4.914 1.825 6.036
```

Results
Spin magnetization (μB/cell): 0.00
SG: P2_1/m, No. 11
Crystal system: monoclinic
Energy relative to the elements, uncorrected (meV per atom): -1310



PrPuRh: optimized geometry, PBE.

Geometry as extended XYZ:
```
18
Lattice="-4.857 6.335 3.653 4.857 -6.335 3.653 4.857 6.335 -3.653" Properties=species:S:1:pos:R:3 pbc="T T T"
Pr -2.429 6.334 3.653
Pr 7.286 0.000 0.000
Pr 2.429 -2.629 2.758
Pr 2.429 3.710 -0.893
Pr 2.429 8.964 -0.896
Pr 2.429 2.625 2.760
Pu 0.000 0.000 2.445
Pu 4.857 0.000 2.445
Pu 0.003 4.751 1.535
Pu 4.855 4.751 1.535
Pu -0.003 7.918 1.535
Pu 0.003 1.583 5.189
Rh 0.000 2.114 0.621
Rh 4.857 2.114 0.621
Rh 2.429 -0.008 4.269
Rh 2.429 6.343 0.616
Rh 0.000 10.555 0.621
Rh 0.000 4.221 4.275
```

Results
Spin magnetization (μB/cell): 35.03
SG: Ima2, No. 46
ΔH_f (0 K) (eV per atom): -0.4081
Crystal system: orthorhombic



RbPaMnSe3: optimized geometry, PBE.

Geometry as extended XYZ:
```
12
Lattice="2.077 -7.788 0.000 2.077 7.788 0.000 0.000 0.000 10.747" Properties=species:S:1:pos:R:3 pbc="T T T"
Rb 2.077 4.010 8.060
Rb 2.077 -4.010 2.687
Pa 2.077 0.000 0.000
Pa 2.077 0.000 5.374
Mn 2.077 7.291 2.687
Mn 2.077 -7.291 8.060
Se 2.077 5.891 0.627
Se 2.077 5.891 4.746
Se 2.077 0.949 2.687
Se 2.077 -0.949 8.060
Se 2.077 -5.891 6.001
Se 2.077 -5.891 10.120
```

Results
Spin magnetization (μB/cell): 6.00
SG: Cmcm, No. 63
Crystal system: orthorhombic
Energy relative to the elements, uncorrected (meV per atom): -1129



Cs2AcScTe4: optimized geometry, PBE.

Geometry as extended XYZ:
```
8
Lattice="8.076 0.000 0.000 0.000 4.646 0.000 -2.656 0.000 8.930" Properties=species:S:1:pos:R:3 pbc="T T T"
Cs 0.000 0.000 0.000
Cs 4.038 2.323 0.000
Ac -1.328 2.323 4.465
Sc 2.710 0.000 4.465
Te 0.252 0.000 6.212
Te 1.558 2.323 2.824
Te 3.862 2.323 6.106
Te 5.168 0.000 2.718
```

Results
Spin magnetization (μB/cell): 0.00
SG: P2/m, No. 10
Crystal system: monoclinic
Energy relative to the elements, uncorrected (meV per atom): -1331



Ac5PmPr: optimized geometry, PBE.

Geometry as extended XYZ:
```
7
Lattice="5.694 0.000 0.000 0.000 5.694 0.000 0.000 0.000 9.597" Properties=species:S:1:pos:R:3 pbc="T T T"
Ac 0.000 0.000 0.000
Ac 0.000 2.847 2.685
Ac 0.000 2.847 6.912
Ac 2.847 0.000 2.685
Ac 2.847 0.000 6.912
Pm 2.847 2.847 4.798
Pr 2.847 2.847 0.000
```

Results
Spin magnetization (μB/cell): 0.00
SG: P4/mmm, No. 123
ΔH_f (0 K) (eV per atom): 0.2293
Crystal system: tetragonal



BaCa3Rh: optimized geometry, PBE.

Geometry as extended XYZ:
```
10
Lattice="6.978 0.000 0.000 2.488 7.433 0.000 1.769 2.921 7.247" Properties=species:S:1:pos:R:3 pbc="T T T"
Ba 0.000 0.000 0.000
Ba 3.534 1.186 1.738
Ca 4.770 4.827 2.405
Ca 5.870 6.455 5.758
Ca 5.009 2.671 5.106
Ca 7.544 3.703 0.122
Ca 8.258 4.084 3.669
Ca 9.703 7.577 3.927
Rh 3.510 5.075 5.183
Rh 6.305 2.377 2.373
```

Results
Spin magnetization (μB/cell): 0.00
SG: P1, No. 1
ΔH_f (0 K) (eV per atom): -0.2126
Crystal system: triclinic



MnZnW2: optimized geometry, PBE.

Geometry as extended XYZ:
```
4
Lattice="1.397 0.807 8.764 -1.397 0.807 8.764 0.000 -1.613 8.764" Properties=species:S:1:pos:R:3 pbc="T T T"
Mn 0.000 0.000 0.000
Zn 0.000 0.000 19.607
W 0.000 0.000 6.811
W 0.000 0.000 13.177
```

Results
Spin magnetization (μB/cell): 0.29
SG: R3m, No. 160
ΔH_f (0 K) (eV per atom): 0.3811
Crystal system: trigonal



KTi2Pd: optimized geometry, PBE.

Geometry as extended XYZ:
```
8
Lattice="-2.474 2.474 9.168 2.474 -2.474 9.168 2.474 2.474 -9.168" Properties=species:S:1:pos:R:3 pbc="T T T"
K 0.000 0.000 0.000
K 0.000 2.474 4.584
Ti 1.237 -0.033 6.876
Ti 2.441 1.237 2.292
Ti 1.237 2.507 -2.292
Ti 0.033 1.237 11.459
Pd 2.474 0.000 4.584
Pd 0.000 0.000 9.168
```

Results
Spin magnetization (μB/cell): 0.00
SG: I-42d, No. 122
ΔH_f (0 K) (eV per atom): 0.8647
Crystal system: tetragonal



K6H: optimized geometry, PBE.

Geometry as extended XYZ:
```
28
Lattice="14.786 0.000 0.000 0.000 13.484 0.000 0.000 0.000 7.825" Properties=species:S:1:pos:R:3 pbc="T T T"
K 0.064 3.371 1.613
K 0.124 8.008 2.038
K 0.124 12.218 2.038
K 3.467 8.015 7.256
K 3.467 12.211 7.256
K 3.531 10.113 3.079
K 3.862 3.371 6.991
K 3.926 1.273 3.344
K 3.926 5.469 3.344
K 7.269 1.266 5.951
K 7.269 5.476 5.951
K 7.329 10.113 5.525
K 7.457 3.371 2.300
K 7.517 8.008 1.874
K 7.517 12.218 1.874
K 10.860 8.015 4.481
K 10.860 12.211 4.481
K 10.924 10.113 0.834
K 11.255 3.371 4.746
K 11.319 1.273 0.569
K 11.319 5.469 0.569
K 14.662 1.266 5.787
K 14.662 5.476 5.787
K 14.722 10.113 6.212
H 1.798 10.113 0.713
H 5.595 3.371 4.626
H 9.191 10.113 3.199
H 12.988 3.371 7.112
```

Results
Spin magnetization (μB/cell): 0.00
SG: Pnma, No. 62
Raw total energy (eV per formula unit): -9.976
Crystal system: orthorhombic



NaSr2TmSe4: optimized geometry, PBE.

Geometry as extended XYZ:
```
8
Lattice="7.365 0.000 0.000 0.000 4.292 0.000 -2.382 0.000 7.066" Properties=species:S:1:pos:R:3 pbc="T T T"
Na 0.000 0.000 0.000
Sr 2.492 0.000 3.533
Sr 3.682 2.146 0.000
Tm -1.191 2.146 3.533
Se -0.080 0.000 5.181
Se 1.104 2.146 1.840
Se 3.879 2.146 5.225
Se 5.063 0.000 1.884
```

Results
Spin magnetization (μB/cell): 0.00
SG: P2/m, No. 10
Crystal system: monoclinic
Energy relative to the elements, uncorrected (meV per atom): -1825



LuMgZrTi: optimized geometry, PBE.

Geometry as extended XYZ:
```
4
Lattice="0.000 3.566 3.566 3.566 0.000 3.566 3.566 3.566 0.000" Properties=species:S:1:pos:R:3 pbc="T T T"
Lu 0.000 0.000 0.000
Mg 5.349 5.349 5.349
Zr 3.566 3.566 3.566
Ti 1.783 1.783 1.783
```

Results
Spin magnetization (μB/cell): 2.58
SG: F-43m, No. 216
ΔH_f (0 K) (eV per atom): 0.1460
Crystal system: cubic



MnOsCl3: optimized geometry, PBE.

Geometry as extended XYZ:
```
5
Lattice="4.725 0.000 0.000 0.000 4.725 0.000 0.000 0.000 4.725" Properties=species:S:1:pos:R:3 pbc="T T T"
Mn 0.000 0.000 0.000
Os 2.363 2.363 2.363
Cl 0.000 0.000 2.363
Cl 0.000 2.363 0.000
Cl 2.363 0.000 0.000
```

Results
Spin magnetization (μB/cell): 4.55
SG: Pm-3m, No. 221
Crystal system: cubic
Energy relative to the elements, uncorrected (meV per atom): 1109



RbCdAg3: optimized geometry, PBE.

Geometry as extended XYZ:
```
10
Lattice="7.026 0.000 0.000 -3.513 6.084 0.000 0.000 0.000 6.326" Properties=species:S:1:pos:R:3 pbc="T T T"
Rb 0.000 4.056 1.582
Rb 3.513 2.028 4.745
Cd 0.000 0.000 0.000
Cd 0.000 0.000 3.163
Ag 0.000 2.419 4.745
Ag -1.418 4.875 4.745
Ag 2.095 1.209 1.582
Ag 1.418 4.875 4.745
Ag 4.931 1.209 1.582
Ag 3.513 3.666 1.582
```

Results
Spin magnetization (μB/cell): 0.00
SG: P6_3/mmc, No. 194
ΔH_f (0 K) (eV per atom): 0.1091
Crystal system: hexagonal



BaTa2Cu2: optimized geometry, PBE.

Geometry as extended XYZ:
```
5
Lattice="-2.002 2.002 7.040 2.002 -2.002 7.040 2.002 2.002 -7.040" Properties=species:S:1:pos:R:3 pbc="T T T"
Ba 0.000 0.000 0.000
Ta 2.002 0.000 3.520
Ta 0.000 2.002 3.520
Cu 0.000 0.000 5.285
Cu 0.000 0.000 8.795
```

Results
Spin magnetization (μB/cell): 0.00
SG: I4/mmm, No. 139
ΔH_f (0 K) (eV per atom): 0.4590
Crystal system: tetragonal



KP2OsCl: optimized geometry, PBE.

Geometry as extended XYZ:
```
5
Lattice="5.211 0.000 0.000 0.000 5.211 0.000 0.000 0.000 5.033" Properties=species:S:1:pos:R:3 pbc="T T T"
K 0.000 0.000 0.000
P 0.000 2.605 0.000
P 2.605 0.000 0.000
Os 2.605 2.605 2.517
Cl 0.000 0.000 2.517
```

Results
Spin magnetization (μB/cell): 0.08
SG: P4/mmm, No. 123
Crystal system: tetragonal
Energy relative to the elements, uncorrected (meV per atom): 2544